Entry 1:
TaOs3: PBEsol geometry, meta-GGA SCAN.

Cell and atoms, written as POSCAR:
```
TaOs3
1.0
4.746 0.000 0.000
0.000 4.746 0.000
0.000 0.000 4.746
Ta Os
1 3
direct
0.000 0.000 0.000 Ta
0.000 0.000 0.500 Os
0.000 0.500 0.000 Os
0.500 0.000 0.000 Os
```

Results
VASP energy   -67.384 eV per atom
Formation energy from the elements   3.171 eV/atom

---

Entry 2:
Mn2FeSi: PBEsol geometry, meta-GGA SCAN.

Cell and atoms, written as POSCAR:
```
Mn2FeSi
1.0
1.261 0.728 7.662
-1.261 0.728 7.662
0.000 -1.456 7.662
Mn Fe Si
2 1 1
direct
0.000 0.000 0.000 Mn
0.251 0.251 0.251 Mn
0.751 0.751 0.751 Fe
0.500 0.500 0.500 Si
```

Results
Formation energy (no corrections)   24 meV/atom
VASP energy   -16.140 eV per atom

---

Entry 3:
TlZnC3: PBEsol geometry, meta-GGA SCAN.

Cell and atoms, written as POSCAR:
```
TlZnC3
1.0
4.041 0.000 0.000
0.000 4.041 0.000
0.000 0.000 4.041
Tl Zn C
1 1 3
direct
0.000 0.000 0.000 Tl
0.500 0.500 0.500 Zn
0.000 0.500 0.500 C
0.500 0.000 0.500 C
0.500 0.500 0.000 C
```

Results
VASP energy   -20.373 eV per atom
Formation energy from the elements   2.862 eV/atom

---

Entry 4:
CaZnP2: PBEsol geometry, meta-GGA SCAN.

Cell and atoms, written as POSCAR:
```
CaZnP2
1.0
5.225 -1.985 0.000
5.225 1.985 0.000
-1.489 0.000 3.677
Ca Zn P
1 1 2
direct
0.000 0.000 0.000 Ca
0.747 0.747 0.272 Zn
0.381 0.381 0.330 P
0.609 0.609 0.633 P
```

Results
VASP energy   -11.670 eV per atom
Formation energy from the elements   -0.676 eV/atom